[1]
AcNiGeRh after structural relaxation. Source: the Alexandria database, functional GGA-PBE. Values from VASP.

Output
**VASP energy**: -24.366 eV for the cell shown
**Space group**: P1
**Calculated formation energy**: -627 meV per atom
**Mass density**: 9.34 g/cm3

Quantum ESPRESSO input file:
```
&SYSTEM
  ibrav = 0, nat = 4, ntyp = 4
/
ATOMIC_SPECIES
Ni 58.69 Ni.upf
Ac 227.00 Ac.upf
Rh 102.91 Rh.upf
Ge 72.64 Ge.upf
CELL_PARAMETERS angstrom
4.258 -0.004 -0.001
-2.132 3.681 -0.002
0.001 -2.451 5.238
ATOMIC_POSITIONS angstrom
Ni 2.127 2.102 0.460
Ac 2.129 -0.348 2.596
Rh -0.004 0.880 4.645
Ge 0.000 -1.573 5.215
```

---

[2]
Ac2Ni4Ge3Rh after structural relaxation. Source: the Alexandria database, functional GGA-PBE. Values from VASP.

Output
**VASP energy**: -57.892 eV for the cell shown
**Space group**: P-4m2
**Calculated formation energy**: -535 meV per atom
**Mass density**: 9.20 g/cm3

Quantum ESPRESSO input file:
```
&SYSTEM
  ibrav = 0, nat = 10, ntyp = 4
/
ATOMIC_SPECIES
Ge 72.64 Ge.upf
Ni 58.69 Ni.upf
Ac 227.00 Ac.upf
Rh 102.91 Rh.upf
CELL_PARAMETERS angstrom
4.237 0.000 0.000
0.000 4.237 0.000
0.000 0.000 10.144
ATOMIC_POSITIONS angstrom
Ge 0.000 0.000 5.072
Ni 0.000 2.119 3.695
Ni 0.000 0.000 0.000
Ge 2.119 0.000 8.949
Ge 0.000 2.119 1.195
Ac 0.000 2.119 7.587
Ni 2.119 0.000 6.449
Ac 2.119 0.000 2.557
Ni 2.119 2.119 0.000
Rh 2.119 2.119 5.072
```

---

[3]
Ac2Ni6GeRh after structural relaxation. Source: the Alexandria database, functional GGA-PBE. Values from VASP.

Output
**VASP energy**: -58.404 eV for the cell shown
**Space group**: P-1
**Calculated formation energy**: -353 meV per atom
**Mass density**: 9.15 g/cm3

Quantum ESPRESSO input file:
```
&SYSTEM
  ibrav = 0, nat = 10, ntyp = 4
/
ATOMIC_SPECIES
Ni 58.69 Ni.upf
Ac 227.00 Ac.upf
Rh 102.91 Rh.upf
Ge 72.64 Ge.upf
CELL_PARAMETERS angstrom
6.505 0.272 1.323
0.313 6.244 1.109
4.332 4.059 5.929
ATOMIC_POSITIONS angstrom
Ni 5.846 5.800 6.455
Ac 3.725 6.677 3.841
Ac 7.425 3.898 4.521
Rh 3.409 3.258 1.216
Ge 0.000 0.000 0.000
Ni 5.305 4.774 1.907
Ni 5.475 8.148 6.100
Ni 7.080 7.003 4.732
Ni 4.071 3.572 3.629
Ni 5.676 2.427 2.262
```

---

- Which of these has the highest mass density?
  AcNiGeRh